No. 1
Material: CoTeSI2
Method: DFT, GGA-PBE
State: optimized geometry

Values from the calculation:
D(E_F): 13.090 states/eV/cell
Polymorph energy (0 for the lowest one): 36.28 kJ/mol of atoms

Unit cell a=5.4353 b=5.4353 c=5.4303 alpha=90.00 beta=90.00 gamma=90.00
Last column: nearest neighbours and their distance in Å.
Sites, in units of the cell vectors:
I (0.0000, 0.5000, 0.0000)  2 S 2.72
I (0.5000, 0.0000, 0.0000)  2 S 2.72
S (0.0000, 0.0000, 0.0000)  2 Te 2.72, 4 I 2.72
Te (0.0000, 0.0000, 0.5000)  2 S 2.72
Co (0.5000, 0.5000, 0.5000)  8 I 3.84, 4 Te 3.84

No. 2
Material: TiCoS2I
Method: DFT, GGA-PBE
State: optimized geometry

Values from the calculation:
D(E_F): 7.772 states/eV/cell

Unit cell a=4.4313 b=5.0242 c=4.4313 alpha=90.00 beta=90.00 gamma=90.00
Last column: nearest neighbours and their distance in Å.
Sites, in units of the cell vectors:
I (0.0000, 0.5000, 0.0000)  2 Co 2.51
S (0.0000, 0.0000, 0.5000)  2 Co 2.22
S (0.5000, 0.0000, 0.0000)  2 Co 2.22
Co (0.0000, 0.0000, 0.0000)  4 S 2.22
Ti (0.5000, 0.5000, 0.5000)  4 I 3.13, 8 S 3.35

No. 3
Material: Tl2CoSI
Method: DFT, GGA-PBE
State: optimized geometry

Values from the calculation:
D(E_F): 2.087 states/eV/cell

Unit cell a=6.2847 b=4.1692 c=6.2847 alpha=90.00 beta=90.00 gamma=90.00
Last column: nearest neighbours and their distance in Å.
Sites, in units of the cell vectors:
I (0.5000, 0.5000, 0.5000)  8 Tl 3.77, 2 I 4.17
Tl (0.0000, 0.0000, 0.5000)  2 S 3.14
Tl (0.5000, 0.0000, 0.0000)  2 S 3.14
Co (0.0000, 0.5000, 0.0000)  2 S 2.08
S (0.0000, 0.0000, 0.0000)  2 Co 2.08

No. 4
Material: Co2SbI2
Method: DFT, GGA-PBE
State: optimized geometry

Values from the calculation:
D(E_F): 5.735 states/eV/cell
Polymorph energy (0 for the lowest one): 0.00 kJ/mol of atoms

Unit cell a=3.6566 b=3.6566 c=9.3023 alpha=78.67 beta=78.67 gamma=90.00
Last column: nearest neighbours and their distance in Å.
Sites, in units of the cell vectors:
I (0.3457, 0.3457, 0.3086)  4 Co 2.50
I (0.6543, 0.6543, 0.6914)  4 Co 2.50
Sb (0.0000, 0.0000, 0.0000)  4 Sb 3.66, 8 I 3.78
Co (0.7500, 0.2500, 0.5000)  4 I 2.50, 4 Co 2.59
Co (0.2500, 0.7500, 0.5000)  4 I 2.50, 4 Co 2.59

Number 1: E_form (uncorrected) 5.118 eV/f.u., total energy -2.471 eV per atom. Number 2: E_form (uncorrected) 1.816 eV/f.u., total energy -4.598 eV per atom. Number 3: E_form (uncorrected) -0.495 eV/f.u., total energy -3.602 eV per atom. Number 4: E_form (uncorrected) 2.447 eV/f.u., total energy -3.797 eV per atom.